Entry 1:
Density functional theory data (PBE) for an optimized crystal structure of BaMn4Tl.

POSCAR file:
```
BaMn4Tl
1.0
-3.253 0.127 4.556
0.418 4.251 3.621
-4.128 3.763 0.388
Mn Tl Ba
4 1 1
Direct
0.377 0.377 0.869
0.377 0.377 0.377
0.869 0.377 0.377
0.377 0.869 0.377
0.750 0.750 0.750
0.000 0.000 0.000
```

Values from the calculation:
As for the formation energy: 615 meV per atom.

Entry 2:
Density functional theory data (PBE) for an optimized crystal structure of Ba2MnTl.

POSCAR file:
```
Ba2MnTl
1.0
6.273 0.122 0.000
1.748 6.026 0.000
-4.011 -3.074 3.719
Ba Tl Mn
2 1 1
Direct
0.250 0.750 0.500
0.000 0.000 0.000
0.750 0.250 0.500
0.500 0.500 0.000
```

Values from the calculation:
As for the formation energy: 266 meV per atom.

Entry 3:
Density functional theory data (PBE) for an optimized crystal structure of Ba2MnTl.

POSCAR file:
```
Ba2MnTl
1.0
6.977 0.047 -0.047
5.715 4.003 -0.047
2.479 0.791 5.242
Tl Ba Mn
1 2 1
Direct
0.205 0.205 0.295
0.974 0.974 0.026
0.777 0.777 0.723
0.544 0.544 0.456
```

Values from the calculation:
As for the formation energy: 137 meV per atom.